No. 1
First-principles (PBE-GGA) data for a geometry-optimized CuH3Pt structure, as listed in Alexandria. Values from VASP.

```
&SYSTEM
  ibrav = 0, nat = 5, ntyp = 3
/
ATOMIC_SPECIES
H 1.01 H.upf
Pt 195.08 Pt.upf
Cu 63.55 Cu.upf
ATOMIC_POSITIONS angstrom
H -0.2393 -0.2981 1.6421
Pt -2.0506 -1.7558 1.1135
Cu 0.0000 0.0000 0.0000
H -1.6623 0.1907 -0.2077
H -0.1490 -1.6484 -0.3209
CELL_PARAMETERS angstrom
-3.3245 0.3814 -0.4153
-0.2980 -3.2969 -0.6419
-0.4787 -0.5961 3.2842
```

Computed properties:
VASP energy: -17.4 eV per cell
ρ: 11.33 g/cm3
Offset from the most stable computed form: 0.536 eV per atom
Fermi-level density of states: 0.492 states/eV/cell

---

No. 2
First-principles (PBE-GGA) data for a geometry-optimized CuHPt2 structure, as listed in Alexandria. Values from VASP.

```
&SYSTEM
  ibrav = 0, nat = 4, ntyp = 3
/
ATOMIC_SPECIES
Pt 195.08 Pt.upf
H 1.01 H.upf
Cu 63.55 Cu.upf
ATOMIC_POSITIONS angstrom
Pt -7.4033 -0.1810 -0.5184
H 0.0000 0.0000 0.0000
Cu -4.7333 -0.2845 -0.3368
Pt -2.0633 -0.3880 -0.1552
CELL_PARAMETERS angstrom
-1.4111 -1.8249 -1.5487
-1.6030 -1.9125 1.2217
-6.4526 3.1685 -0.3466
```

Computed properties:
VASP energy: -19.5 eV per cell
ρ: 16.10 g/cm3
Offset from the most stable computed form: 0.007 eV per atom
Fermi-level density of states: 1.693 states/eV/cell

---

No. 3
First-principles (PBE-GGA) data for a geometry-optimized Cu3HPt structure, as listed in Alexandria. Values from VASP.

```
&SYSTEM
  ibrav = 0, nat = 10, ntyp = 3
/
ATOMIC_SPECIES
H 1.01 H.upf
Cu 63.55 Cu.upf
Pt 195.08 Pt.upf
ATOMIC_POSITIONS angstrom
H 0.6837 4.3421 1.7311
H 0.7012 1.5784 5.1934
Cu 2.0648 1.7249 3.8071
Cu -0.6799 4.1956 0.3448
Cu 0.6973 3.4787 5.1934
Cu 2.0648 1.7249 6.5798
Pt -0.6702 5.7291 5.1934
Cu -0.6799 4.1956 3.1175
Pt 2.0550 0.1914 1.7311
Cu 0.6875 2.4418 1.7311
CELL_PARAMETERS angstrom
2.7446 0.0074 0.0000
-1.3597 5.9131 0.0000
0.0000 0.0000 6.9246
```

Computed properties:
VASP energy: -43.0 eV per cell
ρ: 11.42 g/cm3
Offset from the most stable computed form: 0.034 eV per atom
Fermi-level density of states: 2.971 states/eV/cell

---

No. 4
First-principles (PBE-GGA) data for a geometry-optimized CuHPt structure, as listed in Alexandria. Values from VASP.

```
&SYSTEM
  ibrav = 0, nat = 6, ntyp = 3
/
ATOMIC_SPECIES
Pt 195.08 Pt.upf
Cu 63.55 Cu.upf
H 1.01 H.upf
ATOMIC_POSITIONS angstrom
Pt 1.4155 3.1241 3.1660
Pt 0.0000 0.6364 1.4281
Cu 1.4155 0.3962 3.7025
Cu 0.0000 3.3642 0.8915
H 0.0000 2.0888 3.5516
H 1.4155 1.6716 1.0425
CELL_PARAMETERS angstrom
2.8311 0.0000 0.0000
-1.4155 4.9050 0.1044
0.0000 -1.1445 4.4897
```

Computed properties:
VASP energy: -27.1 eV per cell
ρ: 13.76 g/cm3
Offset from the most stable computed form: 0.006 eV per atom
Fermi-level density of states: 1.518 states/eV/cell

---

No. 5
First-principles (PBE-GGA) data for a geometry-optimized Cu2H5Pt structure, as listed in Alexandria. Values from VASP.

```
&SYSTEM
  ibrav = 0, nat = 8, ntyp = 3
/
ATOMIC_SPECIES
H 1.01 H.upf
Pt 195.08 Pt.upf
Cu 63.55 Cu.upf
ATOMIC_POSITIONS angstrom
H 3.8744 -3.7304 0.0922
H 3.2655 -1.3854 -0.9525
H 1.8425 -3.6623 -0.8306
H 5.6518 -5.5677 0.0763
Pt 5.4544 -3.8506 0.7789
Cu 2.3445 -4.2070 0.7263
Cu 3.3746 -3.1914 -1.4661
H 2.0579 -2.5763 1.6185
CELL_PARAMETERS angstrom
0.3944 -3.4351 -1.4057
4.0689 -0.6117 -2.2708
1.5167 -3.1283 3.1626
```

Computed properties:
VASP energy: -30.7 eV per cell
ρ: 7.87 g/cm3
Fermi-level density of states: 0.986 states/eV/cell

---

No. 6
First-principles (PBE-GGA) data for a geometry-optimized CuH2Pt2 structure, as listed in Alexandria. Values from VASP.

```
&SYSTEM
  ibrav = 0, nat = 5, ntyp = 3
/
ATOMIC_SPECIES
Cu 63.55 Cu.upf
H 1.01 H.upf
Pt 195.08 Pt.upf
ATOMIC_POSITIONS angstrom
Cu 0.0000 0.0000 0.0000
H 1.5116 3.0233 2.7649
Pt 1.5116 1.5116 1.5654
H 3.0233 1.5116 2.7649
Pt 3.0233 3.0233 3.9643
CELL_PARAMETERS angstrom
3.0233 0.0000 0.0000
0.0000 3.0233 0.0000
1.5116 1.5116 5.5297
```

Computed properties:
VASP energy: -22.7 eV per cell
ρ: 14.97 g/cm3
Offset from the most stable computed form: 0.000 eV per atom
Fermi-level density of states: 0.958 states/eV/cell

---

No. 7
First-principles (PBE-GGA) data for a geometry-optimized CuHPt2 structure, as listed in Alexandria. Values from VASP.

```
&SYSTEM
  ibrav = 0, nat = 8, ntyp = 3
/
ATOMIC_SPECIES
H 1.01 H.upf
Cu 63.55 Cu.upf
Pt 195.08 Pt.upf
ATOMIC_POSITIONS angstrom
H -3.1482 1.7193 2.3792
Cu 0.0000 0.0000 0.0000
Pt -4.0142 2.2775 5.4523
Pt -1.8605 3.1289 2.3358
Cu -3.2071 4.4869 4.1949
Pt -3.6735 0.2474 3.4765
Pt -6.2915 4.4125 7.2262
H -4.7127 0.5462 5.0505
CELL_PARAMETERS angstrom
-1.6426 5.6600 1.5236
-4.6538 -2.2213 3.2347
-1.6234 1.5944 4.4871
```

Computed properties:
VASP energy: -38.6 eV per cell
ρ: 15.65 g/cm3
Offset from the most stable computed form: 0.051 eV per atom
Fermi-level density of states: 3.748 states/eV/cell

---

No. 8
First-principles (PBE-GGA) data for a geometry-optimized PuCuH6Pt2 structure, as listed in Alexandria. Values from VASP.

```
&SYSTEM
  ibrav = 0, nat = 10, ntyp = 4
/
ATOMIC_SPECIES
Pu 244.00 Pu.upf
Pt 195.08 Pt.upf
H 1.01 H.upf
Cu 63.55 Cu.upf
ATOMIC_POSITIONS angstrom
Pu 0.0000 0.0000 0.0000
Pt 0.0528 8.4684 1.3749
H 2.3464 5.7784 1.0771
Pt 0.6721 3.0621 0.8923
H -0.5260 6.0391 -0.6199
H -0.4854 4.1444 0.3634
H 1.2509 5.4913 2.8871
H 1.2103 7.3860 1.9038
Cu 0.3625 5.7652 1.1336
H -1.6214 5.7520 1.1901
CELL_PARAMETERS angstrom
-0.0871 4.0708 -2.1127
-2.4407 3.4541 1.7761
3.2528 4.0056 2.6038
```

Computed properties:
VASP energy: -52.6 eV per cell
ρ: 12.48 g/cm3
Fermi-level density of states: 14.037 states/eV/cell

---

No. 9
First-principles (PBE-GGA) data for a geometry-optimized Rb2CuH6Pt structure, as listed in Alexandria. Values from VASP.

```
&SYSTEM
  ibrav = 0, nat = 10, ntyp = 4
/
ATOMIC_SPECIES
Cu 63.55 Cu.upf
H 1.01 H.upf
Rb 85.47 Rb.upf
Pt 195.08 Pt.upf
ATOMIC_POSITIONS angstrom
Cu 2.5126 0.0000 0.0000
H 3.8937 0.0000 1.3228
H 1.1316 4.9341 0.6614
H 3.8937 1.8942 4.6037
Rb 3.7887 3.0398 1.7550
H 1.1316 1.1456 0.6614
H 3.8937 -1.8942 4.6037
Pt 0.0000 0.0000 0.0000
H 1.1316 3.0398 3.9423
Rb 1.2365 0.0000 3.5101
CELL_PARAMETERS angstrom
5.0253 0.0000 0.0000
0.0000 6.0797 0.0000
0.0000 -3.0398 5.2651
```

Computed properties:
VASP energy: -34.0 eV per cell
ρ: 4.50 g/cm3
Fermi-level density of states: 2.231 states/eV/cell

---

No. 10
First-principles (PBE-GGA) data for a geometry-optimized RbCuH6Pt structure, as listed in Alexandria. Values from VASP.

```
&SYSTEM
  ibrav = 0, nat = 9, ntyp = 4
/
ATOMIC_SPECIES
Cu 63.55 Cu.upf
Pt 195.08 Pt.upf
H 1.01 H.upf
Rb 85.47 Rb.upf
ATOMIC_POSITIONS angstrom
Cu -6.0085 1.2954 1.1779
Pt -3.6591 -0.0402 1.7243
H -4.5074 0.5439 0.3995
H -2.8491 -0.4410 3.1380
H -4.3670 -1.5553 1.5874
H -2.7747 1.3747 1.9023
H -4.9723 0.6044 2.5464
H -2.4845 -0.7676 0.7722
Rb -5.4765 1.0218 5.1788
CELL_PARAMETERS angstrom
-2.8566 3.7730 0.6375
-4.1910 0.2334 -2.2766
-2.6201 -2.7511 4.5415
```

Computed properties:
VASP energy: -32.8 eV per cell
ρ: 4.97 g/cm3
Fermi-level density of states: 0.000 states/eV/cell

---

No. 11
First-principles (PBE-GGA) data for a geometry-optimized CuHPt2Rh structure, as listed in Alexandria. Values from VASP.

```
&SYSTEM
  ibrav = 0, nat = 5, ntyp = 4
/
ATOMIC_SPECIES
Rh 102.91 Rh.upf
Pt 195.08 Pt.upf
Cu 63.55 Cu.upf
H 1.01 H.upf
ATOMIC_POSITIONS angstrom
Rh 1.9549 1.9549 1.9970
Pt 1.9549 0.0000 0.0000
Cu 0.0000 0.0000 1.9970
H 0.0000 0.0000 0.0000
Pt 0.0000 1.9549 0.0000
CELL_PARAMETERS angstrom
3.9097 0.0000 0.0000
0.0000 3.9097 0.0000
0.0000 0.0000 3.9940
```

Computed properties:
VASP energy: -26.6 eV per cell
ρ: 15.17 g/cm3
Offset from the most stable computed form: 0.043 eV per atom
Fermi-level density of states: 3.885 states/eV/cell

---

No. 12
First-principles (PBE-GGA) data for a geometry-optimized CuHPt2Rh structure, as listed in Alexandria. Values from VASP.

```
&SYSTEM
  ibrav = 0, nat = 5, ntyp = 4
/
ATOMIC_SPECIES
Rh 102.91 Rh.upf
Pt 195.08 Pt.upf
Cu 63.55 Cu.upf
H 1.01 H.upf
ATOMIC_POSITIONS angstrom
Rh -1.8279 0.3662 0.5681
Pt -0.5367 0.2559 -1.8917
Cu -2.7947 -1.3087 -1.4627
H 0.0000 0.0000 0.0000
Pt -0.4301 -1.9307 -0.1391
CELL_PARAMETERS angstrom
-1.0734 0.5117 -3.7834
-0.8601 -3.8615 -0.2782
-3.6558 0.7324 1.1362
```

Computed properties:
VASP energy: -26.8 eV per cell
ρ: 15.10 g/cm3
Offset from the most stable computed form: 0.000 eV per atom
Fermi-level density of states: 3.921 states/eV/cell